(1)
The following is a DFT calculation (GGA-PBE) of a relaxed Ca2Zn2Rh crystal.

a b c (Å): 5.4489 5.4489 5.4489
angles (deg): 116.59 116.59 96.01
Element x y z (fractional)
Ca1 0.2500 0.7500 0.5000
Ca2 0.7500 0.2500 0.5000
Zn1 0.1624 0.1624 0.0000
Zn2 0.8376 0.8376 0.0000
Rh1 0.5000 0.5000 0.0000

Output
* formation enthalpy at 0 K: -0.091 eV/atom

(2)
The following is a DFT calculation (GGA-PBE) of a relaxed V5SnC crystal.

a b c (Å): 5.2029 5.2029 7.3375
angles (deg): 98.03 98.03 94.20
Element x y z (fractional)
V1 0.0981 0.6478 0.3700
V2 0.1017 0.8983 0.7500
V3 0.1516 0.3524 0.9691
V4 0.3524 0.1516 0.4691
V5 0.3522 0.9019 0.1300
V6 0.6478 0.0981 0.8700
V7 0.6476 0.8484 0.5309
V8 0.8484 0.6476 0.0309
V9 0.8983 0.1017 0.2500
V10 0.9019 0.3522 0.6300
Sn1 0.4490 0.5510 0.7500
Sn2 0.5510 0.4490 0.2500
C1 0.0000 0.0000 0.0000
C2 0.0000 0.0000 0.5000

Output
* formation enthalpy at 0 K: -0.085 eV/atom

(3)
The following is a DFT calculation (GGA-PBE) of a relaxed KMgTlO3 crystal.

a b c (Å): 7.3643 3.3833 9.2985
angles (deg): 90.00 99.25 90.00
Element x y z (fractional)
K1 0.1962 0.2500 0.2473
K2 0.8038 0.7500 0.7527
Mg1 0.1242 0.2500 0.5804
Mg2 0.8758 0.7500 0.4196
Tl1 0.3556 0.7500 0.8727
Tl2 0.6444 0.2500 0.1273
O1 0.1580 0.7500 0.4823
O2 0.1629 0.2500 0.7991
O3 0.4259 0.7500 0.1209
O4 0.5741 0.2500 0.8791
O5 0.8371 0.7500 0.2009
O6 0.8420 0.2500 0.5177

Output
* formation energy without anion corrections: -1455 meV/atom

(4)
The following is a DFT calculation (GGA-PBE) of a relaxed NaLiAs3 crystal.

a b c (Å): 4.7048 4.7048 4.7048
angles (deg): 90.00 90.00 90.00
Element x y z (fractional)
Na1 0.0000 0.0000 0.0000
Li1 0.5000 0.5000 0.5000
As1 0.0000 0.5000 0.5000
As2 0.5000 0.0000 0.5000
As3 0.5000 0.5000 0.0000

Output
* formation enthalpy at 0 K: 0.174 eV/atom

(5)
The following is a DFT calculation (GGA-PBE) of a relaxed Tl2CrCl crystal.

a b c (Å): 9.2243 9.2243 9.2243
angles (deg): 22.32 22.32 22.32
Element x y z (fractional)
Tl1 0.2481 0.2481 0.2481
Tl2 0.7519 0.7519 0.7519
Cr1 0.5000 0.5000 0.5000
Cl1 0.0000 0.0000 0.0000

Output
* formation energy without anion corrections: 196 meV/atom

(6)
The following is a DFT calculation (GGA-PBE) of a relaxed ReHgAs2 crystal.

a b c (Å): 4.6880 4.6880 4.6880
angles (deg): 60.00 60.00 60.00
Element x y z (fractional)
Re1 0.0000 0.0000 0.0000
Hg1 0.7500 0.7500 0.7500
As1 0.2500 0.2500 0.2500
As2 0.5000 0.5000 0.5000

Output
* formation enthalpy at 0 K: 1.007 eV/atom

(7)
The following is a DFT calculation (GGA-PBE) of a relaxed La3InNi crystal.

a b c (Å): 5.4275 5.4275 5.4275
angles (deg): 90.00 90.00 90.00
Element x y z (fractional)
La1 0.0000 0.0000 0.5000
La2 0.0000 0.5000 0.0000
La3 0.5000 0.0000 0.0000
In1 0.5000 0.5000 0.5000
Ni1 0.0000 0.0000 0.0000

Output
* formation enthalpy at 0 K: -0.248 eV/atom

(8)
The following is a DFT calculation (GGA-PBE) of a relaxed Pu3Ta2NbN6 crystal.

a b c (Å): 5.6389 5.6389 5.7608
angles (deg): 99.38 99.38 119.99
Element x y z (fractional)
Pu1 0.0000 0.0000 0.0000
Pu2 0.3356 0.6644 0.0000
Pu3 0.6644 0.3356 0.0000
Ta1 0.1672 0.8328 0.5000
Ta2 0.8328 0.1672 0.5000
Nb1 0.5000 0.5000 0.5000
N1 0.0859 0.4263 0.2797
N2 0.2318 0.2318 0.7177
N3 0.4263 0.0859 0.2797
N4 0.5737 0.9141 0.7203
N5 0.7682 0.7682 0.2823
N6 0.9141 0.5737 0.7203

Output
* formation energy without anion corrections: -1239 meV/atom

| no. | E_tot (Ha/atom) |
| --- | --- |
| 1 | -0.10552 |
| 2 | -0.31192 |
| 3 | -0.17557 |
| 4 | -0.11990 |
| 5 | -0.14166 |
| 6 | -0.16557 |
| 7 | -0.18037 |
| 8 | -0.43361 |